Here is a crystal of BeCdMo relaxed with PBEsol from the Alexandria database. Energies are from meta-GGA SCAN.

The value obtained for the density is 8.36 g/cm3. The density of states at the Fermi level is 2.4 states/eV/cell. As for the energy relative to the elements: 319.5 meV per atom. For the energy above the most stable polymorph in this dataset, the calculation gives 0.00 eV per formula unit.

Unit cell a=2.701 b=2.701 c=11.838 alpha=90.00 beta=90.00 gamma=90.00
Space group I4mm (No. 107)
Asymmetric unit:
Be 0.000 0.000 0.000
Cd 0.000 0.000 0.662
Mo 0.000 0.000 0.357